Entry 1:
# Sr3NiBr2F6

A geometry-optimized Sr3NiBr2F6 structure (GGA+U, the Alexandria database).

Output
The calculation puts the uncorrected energy at -0.3439 Ry per atom. As for the crystal system: monoclinic. The calculation puts the density of states at the Fermi level at 0.0 states/eV per cell. Its total magnetization is 2.000 μB/f.u. As for the space-group type: C2/m, No. 12.

```
Sr3NiBr2F6
1.0
6.3036 -3.6089 0.0000
6.3036 3.6089 0.0000
-0.8326 0.0000 5.7312
Sr Ni Br F
3 1 2 6
direct
0.0000 0.0000 0.0000
0.0000 0.5000 0.5000
0.5000 0.0000 0.5000
0.5000 0.5000 0.5000
0.2212 0.2212 0.8945
0.7788 0.7788 0.1055
0.1948 0.6856 0.6943
0.3144 0.8052 0.3057
0.3492 0.3492 0.3641
0.6508 0.6508 0.6359
0.6856 0.1948 0.6943
0.8052 0.3144 0.3057
```

***

Entry 2:
# Ti2NiBrF

A geometry-optimized Ti2NiBrF structure (GGA+U, the Alexandria database).

Output
The calculation puts the uncorrected energy at -0.2740 Ry per atom. As for the crystal system: tetragonal. The calculation puts the density of states at the Fermi level at 6.2 states/eV per cell. Its total magnetization is 2.723 μB/f.u. As for the space-group type: P4/mmm, No. 123.

```
Ti2NiBrF
1.0
4.8216 0.0000 0.0000
0.0000 4.8216 0.0000
0.0000 0.0000 4.1840
Ti Ni Br F
2 1 1 1
direct
0.0000 0.5000 0.0000
0.5000 0.0000 0.0000
0.0000 0.0000 0.5000
0.0000 0.0000 0.0000
0.5000 0.5000 0.5000
```